1.
This record from Alexandria via LeMat-Bulk describes a relaxed AlSi2Sb crystal. The functional is PBE-GGA.

```
AlSi2Sb
1.0
-1.219 3.378 -0.333
-2.864 -1.360 -3.313
-3.229 -0.855 3.143
Al Si Sb
1 2 1
direct
0.500 0.500 0.000
0.000 0.000 0.000
0.000 0.500 0.500
0.500 0.000 0.500
```

Results
* formation energy (no corrections): 0.48 eV per atom
* ΔE to the lowest computed polymorph: 318.7 meV per atom
* space group: P4/mmm, No. 123


2.
This record from Alexandria via LeMat-Bulk describes a relaxed Al2SiSb crystal. The functional is PBE-GGA.

```
Al2SiSb
1.0
-3.895 0.278 -0.695
-2.572 -3.014 0.170
-2.653 0.525 6.053
Si Al Sb
1 2 1
direct
0.750 0.750 0.750
0.486 0.486 0.545
0.014 0.014 0.955
0.250 0.250 0.250
```

Results
* formation energy (no corrections): 0.16 eV per atom
* ΔE to the lowest computed polymorph: 33.6 meV per atom
* space group: C2/m, No. 12


3.
This record from Alexandria via LeMat-Bulk describes a relaxed Al2SiSb crystal. The functional is PBE-GGA.

```
Al2SiSb
1.0
-0.963 -9.121 -0.003
0.295 -8.694 2.907
-2.855 -8.361 2.462
Si Al Sb
1 2 1
direct
0.738 0.738 0.738
0.003 0.003 0.003
0.257 0.257 0.257
0.502 0.502 0.502
```

Results
* formation energy (no corrections): 0.31 eV per atom
* ΔE to the lowest computed polymorph: 185.1 meV per atom
* space group: R3m, No. 160